1.
# TbSm3DyTh

A relaxed TbSm3DyTh crystal (PBE-GGA, the Alexandria database).

Lattice parameters (Å, degrees): 5.972 6.275 11.960 90.00 90.00 118.41
Fractional positions:
Tb (0.829, 0.658, 0.750)
Tb (0.171, 0.342, 0.250)
Sm (0.667, 0.333, 0.501)
Sm (0.333, 0.667, 0.499)
Sm (0.333, 0.667, 0.001)
Sm (0.667, 0.333, 0.999)
Sm (0.179, 0.357, 0.750)
Sm (0.821, 0.643, 0.250)
Dy (0.000, 0.000, 0.500)
Dy (0.000, 0.000, 0.000)
Th (0.502, 0.004, 0.750)
Th (0.498, 0.996, 0.250)

Calculated values
N(E_F) ... 22.37 states/eV per cell
Formation enthalpy at 0 K ... 0.142 eV/atom
Volume ... 394 Å³ per cell
SG ... Cmcm, No. 63

=====

2.
# TbSm6Dy2Th3

A relaxed TbSm6Dy2Th3 crystal (PBE-GGA, the Alexandria database).

Lattice parameters (Å, degrees): 6.229 6.229 11.930 95.00 95.00 119.94
Fractional positions:
Tb (0.000, 0.000, 0.000)
Sm (0.916, 0.582, 0.746)
Sm (0.751, 0.751, 0.254)
Sm (0.084, 0.418, 0.254)
Sm (0.582, 0.916, 0.746)
Sm (0.249, 0.249, 0.746)
Sm (0.418, 0.084, 0.254)
Dy (0.333, 0.667, 0.000)
Dy (0.667, 0.333, 0.000)
Th (0.167, 0.833, 0.500)
Th (0.833, 0.167, 0.500)
Th (0.500, 0.500, 0.500)

Calculated values
N(E_F) ... 18.93 states/eV per cell
Formation enthalpy at 0 K ... 0.033 eV/atom
Volume ... 395 Å³ per cell
SG ... C2/m, No. 12

=====

3.
# TbSm2DyTh

A relaxed TbSm2DyTh crystal (PBE-GGA, the Alexandria database).

Lattice parameters (Å, degrees): 6.395 8.519 6.363 95.53 90.00 90.00
Fractional positions:
Tb (0.000, 0.000, 0.000)
Tb (0.000, 0.000, 0.500)
Sm (0.701, 0.689, 0.781)
Sm (0.701, 0.311, 0.719)
Sm (0.299, 0.689, 0.281)
Sm (0.299, 0.311, 0.219)
Dy (0.182, 0.500, 0.750)
Dy (0.818, 0.500, 0.250)
Th (0.552, 0.000, 0.250)
Th (0.448, 0.000, 0.750)

Calculated values
N(E_F) ... 13.36 states/eV per cell
Formation enthalpy at 0 K ... 0.314 eV/atom
Volume ... 345 Å³ per cell
SG ... P2/c, No. 13